Record 1
First-principles (PBE-GGA) data for crystalline Dy3Cd2Ag3 at its relaxed geometry, as listed in Alexandria via LeMat-Bulk.

Its crystal system is hexagonal. The calculation puts the formation energy at -0.193 eV/atom. Its polymorph energy (0 for the lowest one) is 69.6 meV/atom. The total moment is 0.0 μB per formula unit.

The structure belongs to space group P-62m (No. 189); the cell edges are 7.4636, 7.4636 and 4.0251 Å and the angles 90.00°, 90.00° and 120.00°. The inequivalent atoms are Dy at (0.0000, 0.3637, 0.0000), Cd at (0.3333, 0.6667, 0.5000) and Ag at (0.0000, 0.7673, 0.5000).

=====

Record 2
First-principles (PBE-GGA) data for crystalline Tm4Al3Ru at its relaxed geometry, as listed in Alexandria via LeMat-Bulk.

Its crystal system is tetragonal. The calculation puts the formation energy at -0.448 eV/atom. The total moment is 0.0 μB per formula unit.

The structure belongs to space group P4/mmm (No. 123); the cell edges are 3.475, 3.475 and 14.242 Å and the angles 90.00°, 90.00° and 90.00°. The inequivalent atoms are Tm at (0.000, 0.000, 0.112), Tm at (0.000, 0.000, 0.370), Al at (0.500, 0.500, 0.242), Al at (0.500, 0.500, 0.500) and Ru at (0.500, 0.500, 0.000).

=====

Record 3
First-principles (PBE-GGA) data for crystalline KCaPb2 at its relaxed geometry, as listed in Alexandria via LeMat-Bulk.

Its crystal system is monoclinic. The calculation puts the formation energy at -0.206 eV/atom. The total moment is 0.0 μB per formula unit.

The structure belongs to space group Cm (No. 8); the cell edges are 12.971, 3.591 and 6.144 Å and the angles 90.00°, 109.34° and 90.00°. The inequivalent atoms are K at (0.000, 0.000, 0.000), Ca at (0.212, 0.000, 0.589), Pb at (0.255, 0.500, 0.127) and Pb at (0.457, 0.000, 0.485).

=====

Record 4
First-principles (PBE-GGA) data for crystalline PrThRhBr at its relaxed geometry, as listed in Alexandria via LeMat-Bulk.

Its crystal system is trigonal. The formation energy without anion corrections comes out at -1.00 eV per atom. The total moment is 0.0 μB per formula unit.

The structure belongs to space group R3m (No. 160, hexagonal axes); the cell edges are 4.1584, 4.1584 and 23.9516 Å and the angles 90.00°, 90.00° and 120.00°. The inequivalent atoms are Pr at (0.0000, 0.0000, 0.0000), Th at (0.0000, 0.0000, 0.2060), Rh at (0.0000, 0.0000, 0.5965) and Br at (0.0000, 0.0000, 0.7692).

=====

Please write out number 4 again, unchanged.
First-principles (PBE-GGA) data for crystalline PrThRhBr at its relaxed geometry, as listed in Alexandria via LeMat-Bulk.

Its crystal system is trigonal. The formation energy without anion corrections comes out at -1.00 eV per atom. The total moment is 0.0 μB per formula unit.

The structure belongs to space group R3m (No. 160, hexagonal axes); the cell edges are 4.1584, 4.1584 and 23.9516 Å and the angles 90.00°, 90.00° and 120.00°. The inequivalent atoms are Pr at (0.0000, 0.0000, 0.0000), Th at (0.0000, 0.0000, 0.2060), Rh at (0.0000, 0.0000, 0.5965) and Br at (0.0000, 0.0000, 0.7692).

=====

What is the total moment in the fourth record?
0.0 μB per formula unit